(1)
Li2AcPdO4 | Alexandria via LeMat-Bulk | PBE-GGA | relaxed; calculated volume = 106 Å³/cell; E = -46.3 eV per cell; theoretical density = 6.43 g cm⁻³; M_tot = 0.378 μB/atom; formation energy from raw total energies = -1.66 eV/atom
1.0
-2.775 2.775 3.446
2.775 -2.775 3.446
2.775 2.775 -3.446
Li Ac Pd O
2 1 1 4
Direct
0.250 0.750 0.500 Li
0.750 0.250 0.500 Li
0.000 0.000 0.000 Ac
0.500 0.500 0.000 Pd
0.108 0.108 0.564 O
0.456 0.892 0.000 O
0.544 0.544 0.436 O
0.892 0.456 0.000 O

***

(2)
LiAcPdO5 | Alexandria via LeMat-Bulk | PBE-GGA | relaxed; calculated volume = 209 Å³/cell; E = -95.0 eV per cell; theoretical density = 6.68 g cm⁻³; M_tot = 0.246 μB/atom; formation energy from raw total energies = -1.44 eV/atom
1.0
3.137 -4.848 0.000
3.137 4.848 0.000
-1.721 0.000 6.869
Li Ac Pd O
2 2 2 10
Direct
0.180 0.820 0.750 Li
0.820 0.180 0.250 Li
0.146 0.854 0.250 Ac
0.854 0.146 0.750 Ac
0.500 0.500 0.000 Pd
0.500 0.500 0.500 Pd
0.122 0.242 0.460 O
0.210 0.584 0.903 O
0.242 0.122 0.960 O
0.413 0.587 0.250 O
0.416 0.790 0.597 O
0.584 0.210 0.403 O
0.587 0.413 0.750 O
0.758 0.878 0.040 O
0.790 0.416 0.097 O
0.878 0.758 0.540 O

***

(3)
LiAc3Pd2O8 | Alexandria via LeMat-Bulk | PBE-GGA | relaxed; calculated volume = 202 Å³/cell; E = -89.4 eV per cell; theoretical density = 8.44 g cm⁻³; M_tot = 0.001 μB/atom; formation energy from raw total energies = -1.79 eV/atom
1.0
5.444 0.000 0.000
-2.722 4.714 0.000
0.000 0.000 7.885
Li Ac Pd O
1 3 2 8
Direct
0.000 0.000 0.000 Li
0.000 0.000 0.500 Ac
0.333 0.667 0.123 Ac
0.667 0.333 0.877 Ac
0.333 0.667 0.674 Pd
0.667 0.333 0.326 Pd
0.164 0.329 0.834 O
0.164 0.836 0.834 O
0.329 0.164 0.166 O
0.333 0.667 0.423 O
0.667 0.333 0.577 O
0.671 0.836 0.834 O
0.836 0.164 0.166 O
0.836 0.671 0.166 O

***

(4)
LiAcPdO | Alexandria via LeMat-Bulk | PBE-GGA | relaxed; calculated volume = 163 Å³/cell; E = -45.3 eV per cell; theoretical density = 7.26 g cm⁻³; M_tot = 0.000 μB/atom; formation energy from raw total energies = -1.61 eV/atom
1.0
4.201 0.000 0.000
0.000 4.201 0.000
0.000 0.000 9.237
Li Ac Pd O
2 2 2 2
Direct
0.250 0.750 0.000 Li
0.750 0.250 0.000 Li
0.250 0.250 0.359 Ac
0.750 0.750 0.641 Ac
0.250 0.250 0.831 Pd
0.750 0.750 0.169 Pd
0.250 0.750 0.500 O
0.750 0.250 0.500 O

***

(5)
LiAc3Pd2O9 | Alexandria via LeMat-Bulk | PBE-GGA | relaxed; calculated volume = 195 Å³/cell; E = -100.2 eV per cell; theoretical density = 8.92 g cm⁻³; M_tot = 0.000 μB/atom; formation energy from raw total energies = -2.06 eV/atom
1.0
5.673 0.000 0.000
-2.836 4.913 0.000
0.000 0.000 6.981
Li Ac Pd O
1 3 2 9
Direct
0.000 0.000 0.000 Li
0.000 0.000 0.500 Ac
0.333 0.667 0.157 Ac
0.667 0.333 0.843 Ac
0.333 0.667 0.672 Pd
0.667 0.333 0.328 Pd
0.000 0.500 0.500 O
0.169 0.339 0.834 O
0.169 0.831 0.834 O
0.339 0.169 0.166 O
0.500 0.000 0.500 O
0.500 0.500 0.500 O
0.661 0.831 0.834 O
0.831 0.169 0.166 O
0.831 0.661 0.166 O

***

(6)
LiAcPdO4 | Alexandria via LeMat-Bulk | PBE-GGA | relaxed; calculated volume = 236 Å³/cell; E = -86.5 eV per cell; theoretical density = 5.68 g cm⁻³; M_tot = 0.000 μB/atom; formation energy from raw total energies = -1.74 eV/atom
1.0
-3.253 4.081 4.450
3.253 -4.081 4.450
3.253 4.081 -4.450
Li Ac Pd O
2 2 2 8
Direct
0.267 0.017 0.250 Li
0.733 0.983 0.750 Li
0.000 0.500 0.500 Ac
0.500 0.500 0.000 Ac
0.500 0.000 0.000 Pd
0.500 0.500 0.500 Pd
0.268 0.298 0.530 O
0.268 0.738 0.970 O
0.317 0.224 0.093 O
0.369 0.776 0.593 O
0.631 0.224 0.407 O
0.683 0.776 0.907 O
0.732 0.262 0.030 O
0.732 0.702 0.470 O

***

(7)
LiAc2PmO5 | Alexandria via LeMat-Bulk | PBE-GGA | relaxed; calculated volume = 137 Å³/cell; E = -66.2 eV per cell; theoretical density = 8.32 g cm⁻³; M_tot = 0.000 μB/atom; formation energy from raw total energies = -2.94 eV/atom
1.0
3.762 0.000 0.000
0.000 3.762 0.000
0.000 0.000 9.672
Li Ac Pm O
1 2 1 5
Direct
0.000 0.000 0.000 Li
0.500 0.500 0.178 Ac
0.500 0.500 0.822 Ac
0.000 0.000 0.500 Pm
0.000 0.000 0.266 O
0.000 0.000 0.734 O
0.000 0.500 0.000 O
0.500 0.000 0.000 O
0.500 0.500 0.500 O

***

(8)
LiAc2PtO5 | Alexandria via LeMat-Bulk | PBE-GGA | relaxed; calculated volume = 308 Å³/cell; E = -120.4 eV per cell; theoretical density = 7.94 g cm⁻³; M_tot = 0.117 μB/atom; formation energy from raw total energies = -2.14 eV/atom
1.0
7.248 0.000 0.000
0.000 7.248 0.000
0.000 0.000 5.858
Li Ac Pt O
2 4 2 10
Direct
0.000 0.000 0.000 Li
0.500 0.500 0.000 Li
0.181 0.319 0.500 Ac
0.319 0.819 0.500 Ac
0.681 0.181 0.500 Ac
0.819 0.681 0.500 Ac
0.000 0.500 0.000 Pt
0.500 0.000 0.000 Pt
0.000 0.000 0.500 O
0.133 0.633 0.246 O
0.133 0.633 0.754 O
0.367 0.133 0.246 O
0.367 0.133 0.754 O
0.500 0.500 0.500 O
0.633 0.867 0.246 O
0.633 0.867 0.754 O
0.867 0.367 0.246 O
0.867 0.367 0.754 O

***

(9)
LiAc3Pt2O9 | Alexandria via LeMat-Bulk | PBE-GGA | relaxed; calculated volume = 198 Å³/cell; E = -102.3 eV per cell; theoretical density = 10.27 g cm⁻³; M_tot = 0.000 μB/atom; formation energy from raw total energies = -2.09 eV/atom
1.0
5.699 0.000 0.000
-2.850 4.936 0.000
0.000 0.000 7.025
Li Ac Pt O
1 3 2 9
Direct
0.000 0.000 0.000 Li
0.000 0.000 0.500 Ac
0.333 0.667 0.152 Ac
0.667 0.333 0.848 Ac
0.333 0.667 0.672 Pt
0.667 0.333 0.328 Pt
0.000 0.500 0.500 O
0.169 0.339 0.834 O
0.169 0.831 0.834 O
0.339 0.169 0.166 O
0.500 0.000 0.500 O
0.500 0.500 0.500 O
0.661 0.831 0.834 O
0.831 0.169 0.166 O
0.831 0.661 0.166 O

***

(10)
Li2Ac2PtO6 | Alexandria via LeMat-Bulk | PBE-GGA | relaxed; calculated volume = 144 Å³/cell; E = -71.2 eV per cell; theoretical density = 8.76 g cm⁻³; M_tot = 0.000 μB/atom; formation energy from raw total energies = -2.12 eV/atom
1.0
2.862 1.653 5.070
-2.862 1.653 5.070
0.000 -3.305 5.070
Li Ac Pt O
2 2 1 6
Direct
0.073 0.073 0.073 Li
0.927 0.927 0.927 Li
0.275 0.275 0.275 Ac
0.725 0.725 0.725 Ac
0.500 0.500 0.500 Pt
0.257 0.257 0.721 O
0.257 0.721 0.257 O
0.279 0.743 0.743 O
0.721 0.257 0.257 O
0.743 0.279 0.743 O
0.743 0.743 0.279 O

***

(11)
LiAc2Pt2O6 | Alexandria via LeMat-Bulk | PBE-GGA | relaxed; calculated volume = 167 Å³/cell; E = -68.6 eV per cell; theoretical density = 9.42 g cm⁻³; M_tot = 0.000 μB/atom; formation energy from raw total energies = -1.52 eV/atom
1.0
2.968 1.714 5.472
-2.968 1.714 5.472
0.000 -3.427 5.472
Li Ac Pt O
1 2 2 6
Direct
0.000 0.000 0.000 Li
0.219 0.219 0.219 Ac
0.781 0.781 0.781 Ac
0.412 0.412 0.412 Pt
0.588 0.588 0.588 Pt
0.195 0.765 0.765 O
0.235 0.235 0.805 O
0.235 0.805 0.235 O
0.765 0.195 0.765 O
0.765 0.765 0.195 O
0.805 0.235 0.235 O

***

(12)
Li3Ac3PtO8 | Alexandria via LeMat-Bulk | PBE-GGA | relaxed; calculated volume = 226 Å³/cell; E = -95.8 eV per cell; theoretical density = 7.54 g cm⁻³; M_tot = 0.000 μB/atom; formation energy from raw total energies = -2.13 eV/atom
1.0
3.656 2.111 4.876
-3.656 2.111 4.876
0.000 -4.221 4.876
Li Ac Pt O
3 3 1 8
Direct
0.000 0.500 0.500 Li
0.500 0.000 0.500 Li
0.500 0.500 0.000 Li
0.000 0.000 0.500 Ac
0.000 0.500 0.000 Ac
0.500 0.000 0.000 Ac
0.500 0.500 0.500 Pt
0.245 0.245 0.245 O
0.279 0.279 0.701 O
0.279 0.701 0.279 O
0.299 0.721 0.721 O
0.701 0.279 0.279 O
0.721 0.299 0.721 O
0.721 0.721 0.299 O
0.755 0.755 0.755 O

***

(13)
LiAcPtO | Alexandria via LeMat-Bulk | PBE-GGA | relaxed; calculated volume = 158 Å³/cell; E = -47.7 eV per cell; theoretical density = 9.36 g cm⁻³; M_tot = 0.000 μB/atom; formation energy from raw total energies = -1.71 eV/atom
1.0
4.161 0.000 0.000
0.000 4.161 0.000
0.000 0.000 9.122
Li Ac Pt O
2 2 2 2
Direct
0.250 0.750 0.000 Li
0.750 0.250 0.000 Li
0.250 0.250 0.355 Ac
0.750 0.750 0.645 Ac
0.250 0.250 0.831 Pt
0.750 0.750 0.169 Pt
0.250 0.750 0.500 O
0.750 0.250 0.500 O

***

(14)
LiAcPtO5 | Alexandria via LeMat-Bulk | PBE-GGA | relaxed; calculated volume = 210 Å³/cell; E = -99.4 eV per cell; theoretical density = 8.04 g cm⁻³; M_tot = 0.128 μB/atom; formation energy from raw total energies = -1.60 eV/atom
1.0
3.190 -4.806 0.000
3.190 4.806 0.000
-1.973 0.000 6.856
Li Ac Pt O
2 2 2 10
Direct
0.185 0.815 0.750 Li
0.815 0.185 0.250 Li
0.146 0.854 0.250 Ac
0.854 0.146 0.750 Ac
0.500 0.500 0.000 Pt
0.500 0.500 0.500 Pt
0.130 0.250 0.457 O
0.208 0.582 0.904 O
0.250 0.130 0.957 O
0.415 0.585 0.250 O
0.418 0.792 0.596 O
0.582 0.208 0.404 O
0.585 0.415 0.750 O
0.750 0.870 0.043 O
0.792 0.418 0.096 O
0.870 0.750 0.543 O

***

(15)
LiAcPt2O8 | Alexandria via LeMat-Bulk | PBE-GGA | relaxed; calculated volume = 146 Å³/cell; E = -68.1 eV per cell; theoretical density = 8.53 g cm⁻³; M_tot = 0.000 μB/atom; formation energy from raw total energies = -0.86 eV/atom
1.0
5.293 0.000 0.000
-2.647 4.584 0.000
0.000 0.000 6.037
Li Ac Pt O
1 1 2 8
Direct
0.000 0.000 0.000 Li
0.000 0.000 0.500 Ac
0.333 0.667 0.949 Pt
0.667 0.333 0.051 Pt
0.051 0.361 0.155 O
0.309 0.949 0.155 O
0.333 0.667 0.614 O
0.361 0.309 0.845 O
0.639 0.691 0.155 O
0.667 0.333 0.386 O
0.691 0.051 0.845 O
0.949 0.639 0.845 O

***

(16)
Li2AcPtO4 | Alexandria via LeMat-Bulk | PBE-GGA | relaxed; calculated volume = 104 Å³/cell; E = -46.7 eV per cell; theoretical density = 7.98 g cm⁻³; M_tot = 0.002 μB/atom; formation energy from raw total energies = -1.61 eV/atom
1.0
-2.625 2.917 3.396
2.625 -2.917 3.396
2.625 2.917 -3.396
Li Ac Pt O
2 1 1 4
Direct
0.230 0.230 0.000 Li
0.770 0.770 0.000 Li
0.500 0.000 0.500 Ac
0.000 0.500 0.500 Pt
0.056 0.496 0.913 O
0.417 0.504 0.561 O
0.583 0.143 0.087 O
0.944 0.857 0.439 O

***

(17)
Li2Ac3PtO9 | Alexandria via LeMat-Bulk | PBE-GGA | relaxed; calculated volume = 190 Å³/cell; E = -99.0 eV per cell; theoretical density = 9.04 g cm⁻³; M_tot = 0.180 μB/atom; formation energy from raw total energies = -2.14 eV/atom
1.0
5.580 0.000 0.000
-2.790 4.832 0.000
0.000 0.000 7.040
Li Ac Pt O
2 3 1 9
Direct
0.333 0.667 0.177 Li
0.667 0.333 0.823 Li
0.000 0.000 0.000 Ac
0.333 0.667 0.700 Ac
0.667 0.333 0.300 Ac
0.000 0.000 0.500 Pt
0.000 0.500 0.000 O
0.163 0.326 0.333 O
0.163 0.837 0.333 O
0.326 0.163 0.667 O
0.500 0.000 0.000 O
0.500 0.500 0.000 O
0.674 0.837 0.333 O
0.837 0.163 0.667 O
0.837 0.674 0.667 O

***

(18)
LiAcPuO5 | Alexandria via LeMat-Bulk | PBE-GGA | relaxed; calculated volume = 254 Å³/cell; E = -134.8 eV per cell; theoretical density = 7.29 g cm⁻³; M_tot = 0.250 μB/atom; formation energy from raw total energies = -2.78 eV/atom
1.0
3.623 -4.872 0.000
3.623 4.872 0.000
-3.570 0.000 7.201
Li Ac Pu O
2 2 2 10
Direct
0.058 0.942 0.750 Li
0.942 0.058 0.250 Li
0.429 0.571 0.750 Ac
0.571 0.429 0.250 Ac
0.000 0.500 0.000 Pu
0.500 0.000 0.500 Pu
0.149 0.736 0.897 O
0.220 0.310 0.919 O
0.264 0.851 0.603 O
0.310 0.220 0.419 O
0.316 0.684 0.250 O
0.684 0.316 0.750 O
0.690 0.780 0.581 O
0.736 0.149 0.397 O
0.780 0.690 0.081 O
0.851 0.264 0.103 O

***

(19)
Li2Ac3PuO9 | Alexandria via LeMat-Bulk | PBE-GGA | relaxed; calculated volume = 208 Å³/cell; E = -116.4 eV per cell; theoretical density = 8.66 g cm⁻³; M_tot = 0.066 μB/atom; formation energy from raw total energies = -2.75 eV/atom
1.0
5.759 0.000 0.000
-2.880 4.988 0.000
0.000 0.000 7.228
Li Ac Pu O
2 3 1 9
Direct
0.333 0.667 0.169 Li
0.667 0.333 0.831 Li
0.000 0.000 0.000 Ac
0.333 0.667 0.752 Ac
0.667 0.333 0.248 Ac
0.000 0.000 0.500 Pu
0.000 0.500 0.000 O
0.159 0.317 0.329 O
0.159 0.841 0.329 O
0.317 0.159 0.671 O
0.500 0.000 0.000 O
0.500 0.500 0.000 O
0.683 0.841 0.329 O
0.841 0.159 0.671 O
0.841 0.683 0.671 O

***

(20)
Li3Ac3PuO8 | Alexandria via LeMat-Bulk | PBE-GGA | relaxed; calculated volume = 233 Å³/cell; E = -111.6 eV per cell; theoretical density = 7.66 g cm⁻³; M_tot = 0.267 μB/atom; formation energy from raw total energies = -2.63 eV/atom
1.0
3.796 2.192 4.664
-3.796 2.192 4.664
0.000 -4.383 4.664
Li Ac Pu O
3 3 1 8
Direct
0.000 0.500 0.500 Li
0.500 0.000 0.500 Li
0.500 0.500 0.000 Li
0.000 0.000 0.500 Ac
0.000 0.500 0.000 Ac
0.500 0.000 0.000 Ac
0.500 0.500 0.500 Pu
0.242 0.242 0.242 O
0.271 0.271 0.712 O
0.271 0.712 0.271 O
0.288 0.729 0.729 O
0.712 0.271 0.271 O
0.729 0.288 0.729 O
0.729 0.729 0.288 O
0.758 0.758 0.758 O